Record 1
Below is an optimized crystal structure of Ac2AgSe4, with properties calculated at the PBE level.

Output
* calculated density: 7.350 g/cm3
* V: 28.328 Å³ per atom
* uncorrected formation energy: -1463 meV per atom
* Fermi-level density of states: 0.260 states/eV/atom
* SG: P2_1/m
* spin magnetization: 0.0 Bohr magnetons per cell
* energy: -5.0356 eV per atom

Geometry as CIF:
```
data_Ac2AgSe4
_chemical_formula_sum 'Ac4 Ag2 Se8'
_symmetry_space_group_name_H-M 'P 1'
_symmetry_Int_Tables_number 1
_symmetry_space_group_name_Hall 'P 1'
_cell_length_a 7.574
_cell_length_b 6.117
_cell_length_c 8.957
_cell_angle_alpha 90.00
_cell_angle_beta 107.12
_cell_angle_gamma 90.00
loop_
_atom_site_label
_atom_site_type_symbol
_atom_site_fract_x
_atom_site_fract_y
_atom_site_fract_z
_atom_site_occupancy
Ac1 Ac 0.764 0.750 0.068 1
Ac2 Ac 0.236 0.250 0.932 1
Ac3 Ac 0.766 0.750 0.565 1
Ac4 Ac 0.234 0.250 0.435 1
Se1 Se 0.525 0.483 0.258 1
Se2 Se 0.934 0.250 0.605 1
Se3 Se 0.475 0.517 0.742 1
Se4 Se 0.935 0.250 0.114 1
Se5 Se 0.066 0.750 0.395 1
Se6 Se 0.525 0.017 0.258 1
Se7 Se 0.065 0.750 0.886 1
Se8 Se 0.475 0.983 0.742 1
Ag1 Ag 0.240 0.750 0.184 1
Ag2 Ag 0.760 0.250 0.816 1
```

***

Record 2
Below is an optimized crystal structure of Ac3AgSe5, with properties calculated at the PBE level.

Output
* calculated density: 7.654 g/cm3
* V: 28.534 Å³ per atom
* uncorrected formation energy: -1612 meV per atom
* SG: I4/mcm
* spin magnetization: 0.0 Bohr magnetons per cell
* energy: -5.2344 eV per atom

Geometry as CIF:
```
data_Ac3AgSe5
_chemical_formula_sum 'Ac6 Ag2 Se10'
_symmetry_space_group_name_H-M 'P 1'
_symmetry_Int_Tables_number 1
_symmetry_space_group_name_Hall 'P 1'
_cell_length_a 8.386
_cell_length_b 8.386
_cell_length_c 9.408
_cell_angle_alpha 116.47
_cell_angle_beta 116.47
_cell_angle_gamma 90.00
loop_
_atom_site_label
_atom_site_type_symbol
_atom_site_fract_x
_atom_site_fract_y
_atom_site_fract_z
_atom_site_occupancy
Se1 Se 0.471 0.312 0.283 1
Se2 Se 0.688 0.188 0.717 1
Se3 Se 0.029 0.529 0.717 1
Se4 Se 0.500 0.500 0.000 1
Se5 Se 0.000 0.000 0.000 1
Se6 Se 0.812 0.971 0.283 1
Se7 Se 0.188 0.029 0.717 1
Se8 Se 0.312 0.812 0.283 1
Se9 Se 0.529 0.688 0.717 1
Se10 Se 0.971 0.471 0.283 1
Ac1 Ac 0.750 0.750 0.500 1
Ac2 Ac 0.653 0.153 0.000 1
Ac3 Ac 0.347 0.847 0.000 1
Ac4 Ac 0.153 0.347 0.000 1
Ac5 Ac 0.250 0.250 0.500 1
Ac6 Ac 0.847 0.653 0.000 1
Ag1 Ag 0.750 0.250 0.500 1
Ag2 Ag 0.250 0.750 0.500 1
```

***

Record 3
Below is an optimized crystal structure of Ac2Ag4Se5, with properties calculated at the PBE level.

Output
* calculated density: 6.813 g/cm3
* V: 28.367 Å³ per atom
* uncorrected formation energy: -774 meV per atom
* Fermi-level density of states: 0.430 states/eV/atom
* SG: R-3m
* spin magnetization: 0.0 Bohr magnetons per cell
* energy: -4.1420 eV per atom

Geometry as CIF:
```
data_Ac2Ag4Se5
_chemical_formula_sum 'Ac2 Ag4 Se5'
_symmetry_space_group_name_H-M 'P 1'
_symmetry_Int_Tables_number 1
_symmetry_space_group_name_Hall 'P 1'
_cell_length_a 4.450
_cell_length_b 4.450
_cell_length_c 18.371
_cell_angle_alpha 83.04
_cell_angle_beta 83.04
_cell_angle_gamma 60.00
loop_
_atom_site_label
_atom_site_type_symbol
_atom_site_fract_x
_atom_site_fract_y
_atom_site_fract_z
_atom_site_occupancy
Ag1 Ag 0.309 0.309 0.074 1
Ag2 Ag 0.412 0.412 0.763 1
Ag3 Ag 0.588 0.588 0.237 1
Ag4 Ag 0.691 0.691 0.926 1
Se1 Se 0.635 0.635 0.096 1
Se2 Se 0.767 0.767 0.699 1
Se3 Se 0.233 0.233 0.301 1
Se4 Se 0.365 0.365 0.904 1
Se5 Se 0.500 0.500 0.500 1
Ac1 Ac 0.868 0.868 0.396 1
Ac2 Ac 0.132 0.132 0.604 1
```

***

Record 4
Below is an optimized crystal structure of AcAg3Se3, with properties calculated at the PBE level.

Output
* calculated density: 6.970 g/cm3
* V: 26.803 Å³ per atom
* uncorrected formation energy: -773 meV per atom
* SG: R-3
* spin magnetization: 0.0 Bohr magnetons per cell
* energy: -4.0750 eV per atom

Geometry as CIF:
```
data_AcAg3Se3
_chemical_formula_sum 'Ac2 Ag6 Se6'
_symmetry_space_group_name_H-M 'P 1'
_symmetry_Int_Tables_number 1
_symmetry_space_group_name_Hall 'P 1'
_cell_length_a 7.739
_cell_length_b 7.739
_cell_length_c 8.503
_cell_angle_alpha 62.93
_cell_angle_beta 62.93
_cell_angle_gamma 60.00
loop_
_atom_site_label
_atom_site_type_symbol
_atom_site_fract_x
_atom_site_fract_y
_atom_site_fract_z
_atom_site_occupancy
Se1 Se 0.921 0.250 0.240 1
Se2 Se 0.079 0.750 0.760 1
Se3 Se 0.589 0.921 0.240 1
Se4 Se 0.250 0.589 0.240 1
Se5 Se 0.411 0.079 0.760 1
Se6 Se 0.750 0.411 0.760 1
Ag1 Ag 0.529 0.219 0.375 1
Ag2 Ag 0.876 0.529 0.375 1
Ag3 Ag 0.219 0.876 0.375 1
Ag4 Ag 0.124 0.471 0.625 1
Ag5 Ag 0.781 0.124 0.625 1
Ag6 Ag 0.471 0.781 0.625 1
Ac1 Ac 0.666 0.666 0.001 1
Ac2 Ac 0.334 0.334 0.999 1
```

***

Record 5
Below is an optimized crystal structure of Ac2AgSe, with properties calculated at the PBE level.

Output
* calculated density: 7.907 g/cm3
* V: 33.645 Å³ per atom
* uncorrected formation energy: -930 meV per atom
* Fermi-level density of states: 0.967 states/eV/atom
* SG: R3m
* excess energy over the best structure of this formula in the dataset: 38.2 meV/atom
* spin magnetization: 0.0 Bohr magnetons per cell
* energy: -4.5681 eV per atom

Geometry as CIF:
```
data_Ac2AgSe
_chemical_formula_sum 'Ac2 Ag1 Se1'
_symmetry_space_group_name_H-M 'P 1'
_symmetry_Int_Tables_number 1
_symmetry_space_group_name_Hall 'P 1'
_cell_length_a 4.338
_cell_length_b 4.338
_cell_length_c 8.631
_cell_angle_alpha 75.45
_cell_angle_beta 75.45
_cell_angle_gamma 60.00
loop_
_atom_site_label
_atom_site_type_symbol
_atom_site_fract_x
_atom_site_fract_y
_atom_site_fract_z
_atom_site_occupancy
Ac1 Ac 0.079 0.079 0.762 1
Ac2 Ac 0.254 0.254 0.239 1
Ag1 Ag 0.499 0.499 0.503 1
Se1 Se 0.668 0.668 0.996 1
```

***

Record 6
Below is an optimized crystal structure of Ac4AgSe3, with properties calculated at the PBE level.

Output
* calculated density: 7.968 g/cm3
* V: 32.636 Å³ per atom
* uncorrected formation energy: -1422 meV per atom
* Fermi-level density of states: 0.795 states/eV/atom
* SG: Cmmm
* spin magnetization: 0.0 Bohr magnetons per cell
* energy: -5.1396 eV per atom

Geometry as CIF:
```
data_Ac4AgSe3
_chemical_formula_sum 'Ac4 Ag1 Se3'
_symmetry_space_group_name_H-M 'P 1'
_symmetry_Int_Tables_number 1
_symmetry_space_group_name_Hall 'P 1'
_cell_length_a 4.444
_cell_length_b 7.883
_cell_length_c 7.883
_cell_angle_alpha 109.01
_cell_angle_beta 90.00
_cell_angle_gamma 90.00
loop_
_atom_site_label
_atom_site_type_symbol
_atom_site_fract_x
_atom_site_fract_y
_atom_site_fract_z
_atom_site_occupancy
Se1 Se 0.500 0.500 0.500 1
Se2 Se 0.000 0.000 0.500 1
Se3 Se 0.000 0.500 0.000 1
Ac1 Ac 0.000 0.750 0.750 1
Ac2 Ac 0.500 0.252 0.748 1
Ac3 Ac 0.500 0.748 0.252 1
Ac4 Ac 0.000 0.250 0.250 1
Ag1 Ag 0.500 0.000 0.000 1
```

***

Record 7
Below is an optimized crystal structure of AcAg5Se4, with properties calculated at the PBE level.

Output
* calculated density: 7.058 g/cm3
* V: 25.460 Å³ per atom
* uncorrected formation energy: -529 meV per atom
* Fermi-level density of states: 0.118 states/eV/atom
* SG: C2/m
* spin magnetization: 0.0 Bohr magnetons per cell
* energy: -3.7597 eV per atom

Geometry as CIF:
```
data_AcAg5Se4
_chemical_formula_sum 'Ac1 Ag5 Se4'
_symmetry_space_group_name_H-M 'P 1'
_symmetry_Int_Tables_number 1
_symmetry_space_group_name_Hall 'P 1'
_cell_length_a 4.435
_cell_length_b 8.546
_cell_length_c 7.923
_cell_angle_alpha 117.53
_cell_angle_beta 90.00
_cell_angle_gamma 105.04
loop_
_atom_site_label
_atom_site_type_symbol
_atom_site_fract_x
_atom_site_fract_y
_atom_site_fract_z
_atom_site_occupancy
Se1 Se 0.000 0.001 0.723 1
Se2 Se 0.281 0.561 0.780 1
Se3 Se 0.719 0.439 0.220 1
Se4 Se 0.000 0.999 0.277 1
Ag1 Ag 0.182 0.363 0.386 1
Ag2 Ag 0.818 0.637 0.614 1
Ag3 Ag 0.818 0.635 0.021 1
Ag4 Ag 0.500 0.000 0.500 1
Ag5 Ag 0.182 0.365 0.979 1
Ac1 Ac 0.500 0.000 0.000 1
```

***

Record 8
Below is an optimized crystal structure of Ac4Ag2Se, with properties calculated at the PBE level.

Output
* calculated density: 7.288 g/cm3
* V: 39.145 Å³ per atom
* uncorrected formation energy: -424 meV per atom
* Fermi-level density of states: 1.181 states/eV/atom
* SG: I4/mmm
* spin magnetization: 0.0 Bohr magnetons per cell
* energy: -4.0846 eV per atom

Geometry as CIF:
```
data_Ac4Ag2Se
_chemical_formula_sum 'Ac4 Ag2 Se1'
_symmetry_space_group_name_H-M 'P 1'
_symmetry_Int_Tables_number 1
_symmetry_space_group_name_Hall 'P 1'
_cell_length_a 5.987
_cell_length_b 5.987
_cell_length_c 8.739
_cell_angle_alpha 110.03
_cell_angle_beta 110.03
_cell_angle_gamma 90.00
loop_
_atom_site_label
_atom_site_type_symbol
_atom_site_fract_x
_atom_site_fract_y
_atom_site_fract_z
_atom_site_occupancy
Se1 Se 0.000 0.000 0.000 1
Ac1 Ac 0.500 0.000 0.000 1
Ac2 Ac 0.798 0.798 0.596 1
Ac3 Ac 0.000 0.500 0.000 1
Ac4 Ac 0.202 0.202 0.404 1
Ag1 Ag 0.403 0.403 0.806 1
Ag2 Ag 0.597 0.597 0.194 1
```

***

Record 9
Below is an optimized crystal structure of Ac2AgSe, with properties calculated at the PBE level.

Output
* calculated density: 7.880 g/cm3
* V: 33.758 Å³ per atom
* uncorrected formation energy: -968 meV per atom
* Fermi-level density of states: 1.151 states/eV/atom
* SG: R-3m
* excess energy over the best structure of this formula in the dataset: 0.0 meV/atom
* spin magnetization: 0.0 Bohr magnetons per cell
* energy: -4.6063 eV per atom

Geometry as CIF:
```
data_Ac2AgSe
_chemical_formula_sum 'Ac2 Ag1 Se1'
_symmetry_space_group_name_H-M 'P 1'
_symmetry_Int_Tables_number 1
_symmetry_space_group_name_Hall 'P 1'
_cell_length_a 4.467
_cell_length_b 4.467
_cell_length_c 8.228
_cell_angle_alpha 74.25
_cell_angle_beta 74.25
_cell_angle_gamma 60.00
loop_
_atom_site_label
_atom_site_type_symbol
_atom_site_fract_x
_atom_site_fract_y
_atom_site_fract_z
_atom_site_occupancy
Ac1 Ac 0.748 0.748 0.757 1
Ac2 Ac 0.252 0.252 0.243 1
Ag1 Ag 0.500 0.500 0.500 1
Se1 Se 0.000 0.000 0.000 1
```

***

Record 10
Below is an optimized crystal structure of AcAgSe3, with properties calculated at the PBE level.

Output
* calculated density: 6.273 g/cm3
* V: 30.270 Å³ per atom
* uncorrected formation energy: -920 meV per atom
* Fermi-level density of states: 0.163 states/eV/atom
* SG: Pmma
* spin magnetization: 0.0 Bohr magnetons per cell
* energy: -4.4029 eV per atom

Geometry as CIF:
```
data_AcAgSe3
_chemical_formula_sum 'Ac2 Ag2 Se6'
_symmetry_space_group_name_H-M 'P 1'
_symmetry_Int_Tables_number 1
_symmetry_space_group_name_Hall 'P 1'
_cell_length_a 4.183
_cell_length_b 7.979
_cell_length_c 9.069
_cell_angle_alpha 90.00
_cell_angle_beta 90.00
_cell_angle_gamma 90.00
loop_
_atom_site_label
_atom_site_type_symbol
_atom_site_fract_x
_atom_site_fract_y
_atom_site_fract_z
_atom_site_occupancy
Ag1 Ag 0.500 0.250 0.199 1
Ag2 Ag 0.500 0.750 0.801 1
Se1 Se 0.500 0.515 0.361 1
Se2 Se 0.500 0.485 0.639 1
Se3 Se 0.500 0.500 0.000 1
Se4 Se 0.500 0.015 0.639 1
Se5 Se 0.500 0.985 0.361 1
Se6 Se 0.500 0.000 0.000 1
Ac1 Ac 0.000 0.750 0.194 1
Ac2 Ac 0.000 0.250 0.806 1
```

***

> Look up the energy of the seventh one.

-3.7597 eV per atom

***

What did the tenth record say?
Below is an optimized crystal structure of AcAgSe3, with properties calculated at the PBE level.

Output
* calculated density: 6.273 g/cm3
* V: 30.270 Å³ per atom
* uncorrected formation energy: -920 meV per atom
* Fermi-level density of states: 0.163 states/eV/atom
* SG: Pmma
* spin magnetization: 0.0 Bohr magnetons per cell
* energy: -4.4029 eV per atom

Geometry as CIF:
```
data_AcAgSe3
_chemical_formula_sum 'Ac2 Ag2 Se6'
_symmetry_space_group_name_H-M 'P 1'
_symmetry_Int_Tables_number 1
_symmetry_space_group_name_Hall 'P 1'
_cell_length_a 4.183
_cell_length_b 7.979
_cell_length_c 9.069
_cell_angle_alpha 90.00
_cell_angle_beta 90.00
_cell_angle_gamma 90.00
loop_
_atom_site_label
_atom_site_type_symbol
_atom_site_fract_x
_atom_site_fract_y
_atom_site_fract_z
_atom_site_occupancy
Ag1 Ag 0.500 0.250 0.199 1
Ag2 Ag 0.500 0.750 0.801 1
Se1 Se 0.500 0.515 0.361 1
Se2 Se 0.500 0.485 0.639 1
Se3 Se 0.500 0.500 0.000 1
Se4 Se 0.500 0.015 0.639 1
Se5 Se 0.500 0.985 0.361 1
Se6 Se 0.500 0.000 0.000 1
Ac1 Ac 0.000 0.750 0.194 1
Ac2 Ac 0.000 0.250 0.806 1
```

***

> Look up the uncorrected formation energy of the tenth one.

-920 meV per atom

***

> What is the formula in the tenth record?

AcAgSe3